1.
Density functional theory data (PBE-GGA) for a relaxed structure of Na10B17C3.

Lattice parameters (Å, degrees): 23.1146 2.9371 10.0979 90.00 106.75 90.00
Space group Cm (No. 8)
One atom of each set of equivalent atoms:
Na 0.0000 0.0000 0.0000 [2 per cell]
Na 0.0003 0.5000 0.4998 [2 per cell]
Na 0.0989 0.0000 0.6983 [2 per cell]
Na 0.1000 0.5000 0.1990 [2 per cell]
Na 0.1980 0.5000 0.8984 [2 per cell]
Na 0.1995 0.0000 0.3963 [2 per cell]
Na 0.3001 0.0000 0.0981 [2 per cell]
Na 0.2996 0.5000 0.5939 [2 per cell]
Na 0.3997 0.0000 0.7979 [2 per cell]
Na 0.4013 0.5000 0.2994 [2 per cell]
B 0.0159 0.5000 0.7800 [2 per cell]
B 0.0831 0.5000 0.9159 [2 per cell]
B 0.0852 0.0000 0.4198 [2 per cell]
B 0.1155 0.0000 0.9808 [2 per cell]
B 0.1790 0.5000 0.6063 [2 per cell]
B 0.1833 0.0000 0.1160 [2 per cell]
B 0.2159 0.5000 0.1809 [2 per cell]
B 0.2713 0.0000 0.7908 [2 per cell]
B 0.2835 0.5000 0.3156 [2 per cell]
B 0.3148 0.5000 0.8780 [2 per cell]
B 0.3163 0.0000 0.3805 [2 per cell]
B 0.3801 0.5000 0.0084 [2 per cell]
B 0.3835 0.0000 0.5150 [2 per cell]
B 0.4161 0.5000 0.5806 [2 per cell]
B 0.4228 0.0000 0.0947 [2 per cell]
B 0.4835 0.5000 0.7144 [2 per cell]
B 0.4909 0.0000 0.2310 [2 per cell]
C 0.0221 0.0000 0.2937 [2 per cell]
C 0.1167 0.5000 0.4823 [2 per cell]
C 0.2113 0.0000 0.6707 [2 per cell]

Results
**V**: 328 Å³/f.u.
**Energy above the most stable polymorph in this dataset**: 19 meV/atom
**Electronic total energy**: -295.32 eV/cell
**Energy relative to the elements**: 648 kJ/mol of formula units

---

2.
Density functional theory data (PBE-GGA) for a relaxed structure of Zr2CrAg.

Lattice parameters (Å, degrees): 6.7430 6.7430 6.7430 90.00 90.00 90.00
Space group F-43m (No. 216)
One atom of each set of equivalent atoms:
Zr 0.0000 0.0000 0.0000 [4 per cell]
Zr 0.2500 0.2500 0.2500 [4 per cell]
Cr 0.0000 0.0000 0.5000 [4 per cell]
Ag 0.2500 0.2500 0.7500 [4 per cell]

Results
**V**: 77 Å³/f.u.
**Energy above the most stable polymorph in this dataset**: 247 meV/atom
**Electronic total energy**: -113.85 eV/cell
**Energy relative to the elements**: 107 kJ/mol of formula units

---

3.
Density functional theory data (PBE-GGA) for a relaxed structure of Pa3Tl4CuTe8.

Lattice parameters (Å, degrees): 15.0767 8.6908 9.7516 90.00 121.05 90.00
Space group C2/m (No. 12)
One atom of each set of equivalent atoms:
Pa 0.0000 0.0000 0.0000 [2 per cell]
Pa 0.2500 0.2500 0.0000 [4 per cell]
Tl 0.0000 0.0000 0.5000 [2 per cell]
Tl 0.0000 0.5000 0.5000 [2 per cell]
Tl 0.2500 0.2500 0.5000 [4 per cell]
Cu 0.0000 0.5000 0.0000 [2 per cell]
Te 0.0114 0.2593 0.7936 [8 per cell]
Te 0.2304 0.5000 0.2073 [4 per cell]
Te 0.2399 0.0000 0.2199 [4 per cell]

Results
**V**: 547 Å³/f.u.
**ΔE_f (raw)**: -0.512 eV per atom
**Electronic total energy**: -150.74 eV/cell

---

4.
Density functional theory data (PBE-GGA) for a relaxed structure of Ba2Li7In.

Lattice parameters (Å, degrees): 10.7028 10.7028 10.7028 90.00 90.00 90.00
Space group Fm-3m (No. 225)
One atom of each set of equivalent atoms:
Ba 0.2500 0.2500 0.2500 [8 per cell]
Li 0.0000 0.0000 0.0000 [4 per cell]
Li 0.0000 0.0000 0.2459 [24 per cell]
In 0.0000 0.0000 0.5000 [4 per cell]

Results
**V**: 306 Å³/f.u.
**Electronic total energy**: -78.90 eV/cell
**Energy relative to the elements**: 25 kJ/mol of formula units

---

5.
Density functional theory data (PBE-GGA) for a relaxed structure of Li3BiP2O8.

Lattice parameters (Å, degrees): 5.3267 17.7667 8.5546 90.00 123.68 90.00
Space group P2_1/c (No. 14)
One atom of each set of equivalent atoms:
Li 0.0582 0.0623 0.2476 [4 per cell]
Li 0.1746 0.5980 0.9897 [4 per cell]
Li 0.2971 0.1895 0.5704 [4 per cell]
Bi 0.2424 0.1213 0.9413 [4 per cell]
P 0.1071 0.7198 0.3634 [4 per cell]
P 0.4300 0.5284 0.7304 [4 per cell]
O 0.0220 0.1978 0.6747 [4 per cell]
O 0.0561 0.1670 0.3062 [4 per cell]
O 0.0793 0.6915 0.5257 [4 per cell]
O 0.2093 0.5496 0.7907 [4 per cell]
O 0.2748 0.0742 0.6523 [4 per cell]
O 0.2825 0.5438 0.5185 [4 per cell]
O 0.4482 0.7261 0.4354 [4 per cell]
O 0.4855 0.0586 0.2659 [4 per cell]

Results
**V**: 168 Å³/f.u.
**Energy above the most stable polymorph in this dataset**: 23 meV/atom
**ΔE_f (raw)**: -2.152 eV per atom
**Electronic total energy**: -360.97 eV/cell

---

6.
Density functional theory data (PBE-GGA) for a relaxed structure of HgPbO2.

Lattice parameters (Å, degrees): 8.5559 9.0995 9.2690 90.00 90.00 90.00
Space group Fdd2 (No. 43)
One atom of each set of equivalent atoms:
Hg 0.0000 0.0000 0.0000 [8 per cell]
Pb 0.0000 0.0000 0.5778 [8 per cell]
O 0.0211 0.3211 0.2530 [16 per cell]

Results
**V**: 90 Å³/f.u.
**Energy above the most stable polymorph in this dataset**: 0 meV/atom
**ΔE_f (raw)**: -0.637 eV per atom
**Electronic total energy**: -131.78 eV/cell

---

7.
Density functional theory data (PBE-GGA) for a relaxed structure of B2C3.

Lattice parameters (Å, degrees): 8.5438 2.5130 6.3189 90.00 109.84 90.00
Space group Cm (No. 8)
One atom of each set of equivalent atoms:
B 0.0000 0.0000 0.0000 [2 per cell]
B 0.1094 0.5000 0.4250 [2 per cell]
B 0.2415 0.0000 0.0642 [2 per cell]
B 0.3573 0.0000 0.8366 [2 per cell]
C 0.0071 0.0000 0.2552 [2 per cell]
C 0.0722 0.5000 0.6609 [2 per cell]
C 0.1410 0.0000 0.7977 [2 per cell]
C 0.3018 0.5000 0.4565 [2 per cell]
C 0.3284 0.5000 0.2264 [2 per cell]
C 0.3774 0.0000 0.5921 [2 per cell]

Results
**V**: 32 Å³/f.u.
**Energy above the most stable polymorph in this dataset**: 115 meV/atom
**Electronic total energy**: -157.08 eV/cell
**Energy relative to the elements**: 169 kJ/mol of formula units

---

8.
Density functional theory data (PBE-GGA) for a relaxed structure of AcLuGe.

Lattice parameters (Å, degrees): 7.2255 7.2255 7.2255 90.00 90.00 90.00
Space group F-43m (No. 216)
One atom of each set of equivalent atoms:
Ac 0.0000 0.0000 0.0000 [4 per cell]
Lu 0.0000 0.0000 0.5000 [4 per cell]
Ge 0.2500 0.2500 0.7500 [4 per cell]

Results
**V**: 94 Å³/f.u.
**Energy above the most stable polymorph in this dataset**: 99 meV/atom
**Electronic total energy**: -57.26 eV/cell
**Energy relative to the elements**: -103 kJ/mol of formula units

---

9.
Density functional theory data (PBE-GGA) for a relaxed structure of Sm3YTm2Se6.

Lattice parameters (Å, degrees): 7.0392 12.2615 7.2046 90.00 109.12 90.00
Space group C2/m (No. 12)
One atom of each set of equivalent atoms:
Sm 0.0000 0.0000 0.0000 [2 per cell]
Sm 0.0000 0.3367 0.0000 [4 per cell]
Y 0.0000 0.5000 0.5000 [2 per cell]
Tm 0.0000 0.1662 0.5000 [4 per cell]
Se 0.2406 0.0000 0.7356 [4 per cell]
Se 0.2482 0.3308 0.7381 [8 per cell]

Results
**V**: 294 Å³/f.u.
**ΔE_f (raw)**: -1.763 eV per atom
**Electronic total energy**: -143.24 eV/cell

---

10.
Density functional theory data (PBE-GGA) for a relaxed structure of SrI2F2.

Lattice parameters (Å, degrees): 4.4212 4.4212 12.7570 90.00 90.00 90.00
Space group I4/mmm (No. 139)
One atom of each set of equivalent atoms:
Sr 0.0000 0.0000 0.0000 [2 per cell]
I 0.0000 0.0000 0.3865 [4 per cell]
F 0.0000 0.5000 0.2500 [4 per cell]

Results
**V**: 125 Å³/f.u.
**Energy above the most stable polymorph in this dataset**: 8 meV/atom
**ΔE_f (raw)**: -1.234 eV per atom
**Electronic total energy**: -29.39 eV/cell

---

11.
Density functional theory data (PBE-GGA) for a relaxed structure of Sr2ZnSb.

Lattice parameters (Å, degrees): 8.0440 8.0440 8.0440 90.00 90.00 90.00
Space group F-43m (No. 216)
One atom of each set of equivalent atoms:
Sr 0.0000 0.0000 0.0000 [4 per cell]
Sr 0.2500 0.2500 0.2500 [4 per cell]
Zn 0.0000 0.0000 0.5000 [4 per cell]
Sb 0.2500 0.2500 0.7500 [4 per cell]

Results
**V**: 130 Å³/f.u.
**Energy above the most stable polymorph in this dataset**: 495 meV/atom
**ΔE_f (raw)**: -0.173 eV per atom
**Electronic total energy**: -37.80 eV/cell

---

12.
Density functional theory data (PBE-GGA) for a relaxed structure of NdBe3Au10.

Lattice parameters (Å, degrees): 12.4892 12.4892 12.4892 90.00 90.00 90.00
Space group Fm-3m (No. 225)
One atom of each set of equivalent atoms:
Nd 0.2500 0.2500 0.2500 [8 per cell]
Be 0.0000 0.0000 0.2369 [24 per cell]
Au 0.0000 0.1693 0.3307 [48 per cell]
Au 0.1126 0.1126 0.1126 [32 per cell]

Results
**V**: 244 Å³/f.u.
**Electronic total energy**: -419.82 eV/cell
**Energy relative to the elements**: -363 kJ/mol of formula units